VASP calculation (PBE-GGA) on an optimized crystal structure of LaPr2Nd.

It has space group Pmmm (No. 47), with a = 3.708 Å, b = 5.275 Å, c = 7.397 Å, α = 90.00°, β = 90.00° and γ = 90.00°. The distinct sites, in fractional coordinates, are La at (0.000, 0.000, 0.000), Pr at (0.500, 0.500, 0.252) and Nd at (0.000, 0.000, 0.500).

The calculation puts the energy of formation from the pure elements at 0.012 eV per atom. The calculation puts the volume at 144.7 Å³/cell. As for the mass density: 6.48 g cm⁻³. The calculation puts the energy above the most stable polymorph in this dataset at 2 meV/atom.